GGA-PBE Ho2Fe3, relaxed; crystal system = orthorhombic; VASP energy = -0.50411 Ry/atom
1.0
2.5164 -4.7977 0.0000
2.5164 4.7977 0.0000
0.0000 0.0000 7.2400
Ho Fe
4 6
direct
0.1607 0.8393 0.9013 Ho
0.3393 0.6607 0.4013 Ho
0.6607 0.3393 0.5987 Ho
0.8393 0.1607 0.0987 Ho
0.0000 0.0000 0.5000 Fe
0.1644 0.3356 0.7500 Fe
0.3356 0.1644 0.2500 Fe
0.5000 0.5000 0.0000 Fe
0.6644 0.8356 0.7500 Fe
0.8356 0.6644 0.2500 Fe